Al3Te3I after structural relaxation. Source: Alexandria, functional PBE.

ΔE_f (raw), eV per atom: -0.47
N(E_F), states/eV/f.u.: 0.00
Crystal system: orthorhombic
VASP energy, Ry per atom: -0.2680

CIF file:
```
data_Al3Te3I
_symmetry_space_group_name_H-M 'P n m a'
_symmetry_Int_Tables_number 62
_symmetry_space_group_name_Hall '-P 2ac 2n'
_cell_length_a 11.704
_cell_length_b 4.156
_cell_length_c 21.638
_cell_angle_alpha 90.00
_cell_angle_beta 90.00
_cell_angle_gamma 90.00
loop_
_atom_site_label
_atom_site_type_symbol
_atom_site_fract_x
_atom_site_fract_y
_atom_site_fract_z
Al1 Al 0.040 0.250 0.094
Al2 Al 0.162 0.250 0.996
Al3 Al 0.183 0.250 0.629
Te1 Te 0.098 0.250 0.877
Te2 Te 0.190 0.250 0.505
Te3 Te 0.206 0.250 0.180
I1 I 0.022 0.750 0.335
```